Entry 1:
SrAl2SiPt4: optimized geometry, PBE.

Geometry as CIF:
```
data_SrAl2SiPt4
_chemical_formula_sum 'Sr1 Al2 Si1 Pt4'
_space_group_name_H-M_alt 'P 1'
_space_group_IT_number 1
_cell_length_a 4.297
_cell_length_b 4.297
_cell_length_c 9.512
_cell_angle_alpha 76.95
_cell_angle_beta 76.95
_cell_angle_gamma 60.00
loop_
_space_group_symop_operation_xyz
'x,y,z'
loop_
_atom_site_label
_atom_site_type_symbol
_atom_site_fract_x
_atom_site_fract_y
_atom_site_fract_z
Si1 Si 0.500 0.500 0.500
Pt1 Pt 0.413 0.413 0.762
Pt2 Pt 0.587 0.587 0.238
Pt3 Pt 0.140 0.140 0.579
Pt4 Pt 0.860 0.860 0.421
Al1 Al 0.758 0.758 0.726
Al2 Al 0.242 0.242 0.274
Sr1 Sr 0.000 0.000 0.000
```

***

Entry 2:
Na2PrTlBr6: optimized geometry, PBE.

Geometry as CIF:
```
data_Na2PrTlBr6
_chemical_formula_sum 'Na2 Pr1 Tl1 Br6'
_space_group_name_H-M_alt 'P 1'
_space_group_IT_number 1
_cell_length_a 7.704
_cell_length_b 7.704
_cell_length_c 8.291
_cell_angle_alpha 62.31
_cell_angle_beta 62.31
_cell_angle_gamma 59.99
loop_
_space_group_symop_operation_xyz
'x,y,z'
loop_
_atom_site_label
_atom_site_type_symbol
_atom_site_fract_x
_atom_site_fract_y
_atom_site_fract_z
Na1 Na 0.006 0.006 0.981
Na2 Na 0.518 0.518 0.446
Br1 Br 0.726 0.151 0.756
Br2 Br 0.591 0.242 0.237
Br3 Br 0.151 0.367 0.756
Br4 Br 0.929 0.591 0.237
Br5 Br 0.367 0.726 0.756
Br6 Br 0.242 0.929 0.237
Pr1 Pr 0.323 0.323 0.031
Tl1 Tl 0.807 0.807 0.579
```

***

Number 1: uncorrected formation energy -0.8745 eV/atom. Number 2: uncorrected formation energy -1.5470 eV/atom.